Here is a relaxed LiCoSO4 crystal from Alexandria. Energies are from GGA+U.

```
7
Lattice="5.0703 0.0000 0.0000 0.0000 5.0703 0.0000 -2.5352 -2.5352 3.4837" Properties=species:S:1:pos:R:3 pbc="T T T"
S 0.0000 2.5352 1.7418
Li 2.5352 2.5352 0.0000
O 4.1497 1.7114 0.8896
O 0.9206 3.3589 0.8896
O 0.8238 1.6146 2.5940
Co 0.0000 0.0000 0.0000
O -0.8238 -1.6146 2.5940
```

Properties
**Fermi-level density of states**: 6.5 states/eV/f.u.
**VASP energy**: -39.4 eV per cell
**Magnetization**: 2.1 μB per formula unit